Density functional theory data (GGA-PBE) for a relaxed KRbSrI4 crystal.

The magnetic moment comes out at 0.000 μB per atom. Its uncorrected formation energy is -1514.4 meV per atom. For the density, the calculation gives 3.1 g/cm3. The total energy is -2.94 eV/atom.

The structure belongs to space group I4mm (No. 107); the cell edges are 6.414, 6.414 and 18.482 Å and the angles 90.00°, 90.00° and 90.00°. The distinct sites, in fractional coordinates, are K at (0.000, 0.000, 0.000), Rb at (0.000, 0.000, 0.274), Sr at (0.000, 0.000, 0.639), I at (0.000, 0.000, 0.465), I at (0.000, 0.000, 0.814) and I at (0.000, 0.500, 0.136).



Density functional theory data (GGA-PBE) for a relaxed KRb2TaI6 crystal.

The magnetic moment comes out at 0.200 μB per atom. Its uncorrected formation energy is -916.0 meV per atom. For the density, the calculation gives 4.0 g/cm3. The total energy is -3.33 eV/atom.

The structure belongs to space group Fm-3m (No. 225); the cell edges are 12.364, 12.364 and 12.364 Å and the angles 90.00°, 90.00° and 90.00°. The distinct sites, in fractional coordinates, are K at (0.000, 0.000, 0.000), Rb at (0.250, 0.250, 0.250), Ta at (0.000, 0.000, 0.500) and I at (0.000, 0.000, 0.271).



Density functional theory data (GGA-PBE) for a relaxed K2RbTbI6 crystal.

The magnetic moment comes out at 0.000 μB per atom. Its uncorrected formation energy is -1452.0 meV per atom. For the density, the calculation gives 3.5 g/cm3. The total energy is -3.16 eV/atom.

The structure belongs to space group R3 (No. 146, hexagonal axes); the cell edges are 8.7632, 8.7632 and 23.0897 Å and the angles 90.00°, 90.00° and 120.00°. The distinct sites, in fractional coordinates, are K at (0.0000, 0.0000, 0.0000), K at (0.0000, 0.0000, 0.4885), Rb at (0.0000, 0.0000, 0.2907), Tb at (0.0000, 0.0000, 0.8005), I at (0.0042, 0.7250, 0.8819) and I at (0.0570, 0.3604, 0.3944).



Density functional theory data (GGA-PBE) for a relaxed KRb2TbI6 crystal.

The magnetic moment comes out at 0.000 μB per atom. Its uncorrected formation energy is -1472.1 meV per atom. For the density, the calculation gives 3.8 g/cm3. The total energy is -3.17 eV/atom.

The structure belongs to space group P2_1/c (No. 14); the cell edges are 8.637, 9.175 and 14.945 Å and the angles 90.00°, 124.32° and 90.00°. The distinct sites, in fractional coordinates, are K at (0.000, 0.000, 0.000), Rb at (0.214, 0.082, 0.746), Tb at (0.500, 0.000, 0.500), I at (0.159, 0.180, 0.445), I at (0.265, 0.720, 0.435) and I at (0.390, 0.039, 0.268).